DFT (PBE) results for a relaxed structure of Li2La2TbSn2.

Cell and atoms, written as POSCAR:
```
Li2La2TbSn2
1.0
4.8087 0.0000 0.0000
2.4043 4.1644 0.0000
2.4043 1.3881 9.2160
Sn Tb Li La
2 1 2 2
Direct
0.7316 0.7316 0.8053 Sn
0.2684 0.2684 0.1947 Sn
0.0000 0.0000 0.0000 Tb
0.6049 0.6049 0.1852 Li
0.3951 0.3951 0.8148 Li
0.1315 0.1315 0.6055 La
0.8685 0.8685 0.3945 La
```

Properties
Space group   R-3m (166)
Final energy   -4.25 eV per atom

***

DFT (PBE) results for a relaxed structure of Ta3BP.

Cell and atoms, written as POSCAR:
```
Ta3BP
1.0
3.1784 0.0000 -0.5669
-0.1357 5.0727 -0.7611
-0.0423 -0.0229 8.9569
P B Ta
2 2 6
Direct
0.4147 0.4516 0.8293 P
0.5853 0.5484 0.1707 P
0.7616 0.9235 0.5232 B
0.2384 0.0765 0.4768 B
0.0017 0.2465 0.0034 Ta
0.9983 0.7535 0.9966 Ta
0.1945 0.6045 0.3890 Ta
0.3629 0.9296 0.7258 Ta
0.6371 0.0704 0.2742 Ta
0.8055 0.3955 0.6110 Ta
```

Properties
ΔE to the lowest computed polymorph   0.0000 eV/atom
Space group   C2/m (12)